## SrZn2Cu (GGA-PBE)

Data for a relaxed structure of SrZn2Cu.

Computed properties:
Crystal system ... cubic
Uncorrected energy ... -2.0135 eV/atom
Formation energy from the elements ... 0.07 eV per atom

Cell and atoms, written as POSCAR:
```
SrZn2Cu
1.0
0.0000 3.4654 3.4654
3.4654 0.0000 3.4654
3.4654 3.4654 0.0000
Sr Zn Cu
1 2 1
direct
0.5000 0.5000 0.5000
0.2500 0.2500 0.2500
0.7500 0.7500 0.7500
0.0000 0.0000 0.0000
```